1.
Density functional theory data (PBE) for a relaxed Ho2ErPd3 crystal.

abc: 3.4893 3.4893 10.4568
angles: 90.00 90.00 90.00
Fractional coordinates of all 6 atoms:
Ho: 0.5000 0.5000 0.8328
Ho: 0.5000 0.5000 0.1672
Er: 0.5000 0.5000 0.5000
Pd: 0.0000 0.0000 0.0000
Pd: 0.0000 0.0000 0.6651
Pd: 0.0000 0.0000 0.3349

Results
ΔE to the lowest computed polymorph ... 6.1 meV/atom
Total moment ... 0.00 μB per cell
Uncorrected energy ... -5.79 eV/atom
Volume ... 21.2 A^3/atom

***

2.
Density functional theory data (PBE) for a relaxed Zr2CdBr crystal.

abc: 6.0327 6.0327 6.0327
angles: 149.17 123.90 65.39
Fractional coordinates of all 4 atoms:
Br: 0.7500 0.2500 0.5000
Zr: 0.9812 0.9812 0.0000
Zr: 0.5188 0.5188 0.0000
Cd: 0.2500 0.7500 0.5000

Results
ΔE to the lowest computed polymorph ... 298.8 meV/atom
Total moment ... 0.00 μB per cell
Uncorrected energy ... -4.98 eV/atom
Volume ... 23.1 A^3/atom

***

3.
Density functional theory data (PBE) for a relaxed YCoB2 crystal.

abc: 5.2343 5.8148 6.0721
angles: 90.00 90.00 90.00
Fractional coordinates of all 16 atoms:
Y: 0.7500 0.9958 0.3450
Y: 0.7500 0.4958 0.1550
Y: 0.2500 0.0042 0.6550
Y: 0.2500 0.5042 0.8450
Co: 0.7500 0.8186 0.8247
Co: 0.7500 0.3186 0.6753
Co: 0.2500 0.1814 0.1753
Co: 0.2500 0.6814 0.3247
B: 0.9121 0.6249 0.5428
B: 0.5879 0.1249 0.9572
B: 0.4121 0.3751 0.4572
B: 0.0879 0.8751 0.0428
B: 0.0879 0.3751 0.4572
B: 0.4121 0.8751 0.0428
B: 0.5879 0.6249 0.5428
B: 0.9121 0.1249 0.9572

Results
ΔE to the lowest computed polymorph ... 0.0 meV/atom
Total moment ... 0.00 μB per cell
Uncorrected energy ... -7.25 eV/atom
Volume ... 11.6 A^3/atom

***

4.
Density functional theory data (PBE) for a relaxed NdDy2PbC crystal.

abc: 5.1311 4.9316 4.9316
angles: 90.00 90.00 90.00
Fractional coordinates of all 5 atoms:
Nd: 0.5000 0.0000 0.0000
Dy: 0.0000 0.0000 0.5000
Dy: 0.0000 0.5000 0.0000
Pb: 0.5000 0.5000 0.5000
C: 0.0000 0.0000 0.0000

Results
Total moment ... 0.00 μB per cell
Uncorrected energy ... -5.87 eV/atom
Volume ... 25.0 A^3/atom

***

5.
Density functional theory data (PBE) for a relaxed Mg2Zn2Cd3 crystal.

abc: 4.5155 5.3430 6.4834
angles: 91.75 90.00 115.00
Fractional coordinates of all 7 atoms:
Mg: 0.5927 0.1854 0.3062
Mg: 0.4073 0.8146 0.6938
Zn: 0.1175 0.2350 0.5905
Zn: 0.8825 0.7650 0.4095
Cd: 0.2896 0.5792 0.1803
Cd: 0.0000 0.0000 0.0000
Cd: 0.7104 0.4208 0.8197

Results
ΔE to the lowest computed polymorph ... 36.6 meV/atom
Total moment ... 0.00 μB per cell
Uncorrected energy ... -1.24 eV/atom
Volume ... 20.2 A^3/atom

***

6.
Density functional theory data (PBE) for a relaxed NaAl2TeS6 crystal.

abc: 6.7827 8.3774 8.3774
angles: 88.97 83.38 83.38
Last column: magnetic moment on the atom in μB.
Fractional coordinates of all 20 atoms:
Na: 0.2500 0.9253 0.0747  0.00
Na: 0.7500 0.0747 0.9253  0.00
Al: 0.2714 0.7853 0.6016  0.00
Al: 0.2286 0.3984 0.2147  0.00
Al: 0.7286 0.2147 0.3984  0.00
Al: 0.7714 0.6016 0.7853  0.00
Te: 0.2500 0.2643 0.7357  0.00
Te: 0.7500 0.7357 0.2643  0.00
S: 0.1276 0.9967 0.7643  0.01
S: 0.3724 0.2357 0.0033  0.01
S: 0.8724 0.0033 0.2357  0.01
S: 0.6276 0.7643 0.9967  0.01
S: 0.4004 0.8938 0.3723  0.10
S: 0.0996 0.6277 0.1062  0.10
S: 0.5996 0.1062 0.6277  0.10
S: 0.9004 0.3723 0.8938  0.10
S: 0.9656 0.7011 0.5795  0.01
S: 0.5344 0.4205 0.2989  0.01
S: 0.0344 0.2989 0.4205  0.01
S: 0.4656 0.5795 0.7011  0.01

Results
Total moment ... 0.70 μB per cell
Uncorrected energy ... -4.23 eV/atom
Volume ... 23.5 A^3/atom